Record 1
This record from Alexandria via LeMat-Bulk describes a relaxed structure of ReOs2Au. The functional is PBE.

```
ReOs2Au
1.0
-0.138 -4.390 -1.602
-0.941 -1.544 4.312
-2.785 0.274 -0.510
Os Re Au
2 1 1
Cartesian
0.000 0.000 0.000
-0.540 -2.967 1.355
-1.462 -2.058 -1.056
-1.863 -0.635 1.901
```

V, Å³/cell: 62.2
Polymorph energy (0 for the lowest one), eV/atom: 0.582
Energy of formation, kJ/mol of atoms: 78.6
Space-group type: No. 123



Record 2
This record from Alexandria via LeMat-Bulk describes a relaxed structure of ReOs2Au. The functional is PBE.

```
ReOs2Au
1.0
9.417 0.009 0.005
9.007 2.750 0.005
9.007 1.349 2.397
Re Au Os
1 1 2
Cartesian
6.858 1.027 0.602
20.573 3.081 1.805
13.894 2.081 1.219
27.252 4.081 2.391
```

V, Å³/cell: 61.8
Polymorph energy (0 for the lowest one), eV/atom: 0.000
Energy of formation, kJ/mol of atoms: 22.5
Space-group type: No. 166



Record 3
This record from Alexandria via LeMat-Bulk describes a relaxed structure of ReOs2Au. The functional is PBE.

```
ReOs2Au
1.0
4.825 -0.003 -0.004
4.024 2.663 -0.004
0.810 0.244 4.784
Au Re Os
1 1 2
Cartesian
2.415 0.726 1.194
7.245 2.178 3.581
0.883 0.265 4.670
4.758 1.430 2.501
```

V, Å³/cell: 61.5
Polymorph energy (0 for the lowest one), eV/atom: 0.152
Energy of formation, kJ/mol of atoms: 37.1
Space-group type: No. 12



Record 4
This record from Alexandria via LeMat-Bulk describes a relaxed structure of ReOs2Au. The functional is PBE.

```
ReOs2Au
1.0
4.848 -0.003 -0.001
4.045 2.673 -0.001
0.807 0.242 4.726
Re Os Au
1 2 1
Cartesian
4.793 1.439 2.452
0.882 0.265 4.638
7.256 2.178 3.542
2.427 0.729 1.180
```

V, Å³/cell: 61.3
Polymorph energy (0 for the lowest one), eV/atom: 0.186
Energy of formation, kJ/mol of atoms: 40.4
Space-group type: No. 8



Record 5
This record from Alexandria via LeMat-Bulk describes a relaxed structure of ReOs2Au. The functional is PBE.

```
ReOs2Au
1.0
-3.751 5.327 -6.741
-3.045 3.140 -8.292
-5.463 3.155 -6.935
Re Os Au
1 2 1
Cartesian
-6.203 5.881 -11.116
-12.190 11.557 -21.844
-3.061 2.902 -5.486
-9.193 8.716 -16.474
```

V, Å³/cell: 61.5
Polymorph energy (0 for the lowest one), eV/atom: 0.063
Energy of formation, kJ/mol of atoms: 28.6
Space-group type: No. 160



Record 6
This record from Alexandria via LeMat-Bulk describes a relaxed structure of ReOs2Au. The functional is PBE.

```
ReOs2Au
1.0
4.785 0.007 0.000
1.519 4.538 0.000
-3.152 -2.272 2.793
Os Re Au
2 1 1
Cartesian
3.152 2.272 0.000
0.000 0.000 0.000
0.760 2.269 1.396
2.393 0.003 1.396
```

V, Å³/cell: 60.6
Polymorph energy (0 for the lowest one), eV/atom: 0.264
Energy of formation, kJ/mol of atoms: 47.9
Space-group type: No. 139